Below is a relaxed LaGd2Hg crystal, with properties calculated at the PBE level.

Computed properties:
**Energy**: -98.90 eV per cell
**Excess energy over the best structure of this formula in the dataset**: 353.2 meV/atom
**ΔE_f**: 0.106 eV per atom
**DOS(E_F)**: 1.45 states/eV/atom
**Space-group type**: R-3m

Lattice parameters (Å, degrees): 3.576 3.576 36.239 90.00 90.00 120.00
Atoms (fractional coordinates):
La: 0.000 0.000 0.000
La: 0.333 0.667 0.667
La: 0.667 0.333 0.333
Gd: 0.000 0.000 0.413
Gd: 0.000 0.000 0.587
Gd: 0.333 0.667 0.080
Gd: 0.333 0.667 0.254
Gd: 0.667 0.333 0.746
Gd: 0.667 0.333 0.920
Hg: 0.000 0.000 0.500
Hg: 0.333 0.667 0.167
Hg: 0.667 0.333 0.833